(1)
This record from Alexandria describes an optimized crystal structure of Si2TeRh. The functional is GGA-PBE.

a = 5.752 Å, b = 5.752 Å, c = 5.752 Å
α = 150.83°, β = 125.83°, γ = 62.71°
Fractional coordinates of all 4 atoms:
Rh (0.221, 0.721, 0.500)
Si (0.791, 0.291, 0.500)
Si (0.026, 0.026, 0.000)
Te (0.462, 0.462, 0.000)

Results
ΔE_f (raw) (eV/atom): 0.286
E (eV per atom): -5.049

---

(2)
This record from Alexandria describes an optimized crystal structure of SiTe3Rh. The functional is GGA-PBE.

a = 5.150 Å, b = 5.150 Å, c = 5.150 Å
α = 90.00°, β = 90.00°, γ = 90.00°
Fractional coordinates of all 5 atoms:
Te (0.500, 0.000, 0.000)
Te (0.000, 0.000, 0.500)
Te (0.000, 0.500, 0.000)
Si (0.000, 0.000, 0.000)
Rh (0.500, 0.500, 0.500)

Results
ΔE_f (raw) (eV/atom): 0.927
E (eV per atom): -3.513

---

(3)
This record from Alexandria describes an optimized crystal structure of SiTeRh3. The functional is GGA-PBE.

a = 4.829 Å, b = 4.829 Å, c = 4.829 Å
α = 90.00°, β = 90.00°, γ = 90.00°
Fractional coordinates of all 5 atoms:
Rh (0.000, 0.500, 0.000)
Rh (0.500, 0.000, 0.000)
Rh (0.000, 0.000, 0.500)
Te (0.000, 0.000, 0.000)
Si (0.500, 0.500, 0.500)

Results
ΔE_f (raw) (eV/atom): 1.056
E (eV per atom): -5.067
Distance to the lowest polymorph of the same formula (eV per atom): 0.918

---

(4)
This record from Alexandria describes an optimized crystal structure of Si2TeRh. The functional is GGA-PBE.

a = 6.194 Å, b = 6.194 Å, c = 6.194 Å
α = 36.33°, β = 36.33°, γ = 36.33°
Fractional coordinates of all 4 atoms:
Rh (0.730, 0.730, 0.730)
Si (0.277, 0.277, 0.277)
Si (0.005, 0.005, 0.005)
Te (0.489, 0.489, 0.489)

Results
ΔE_f (raw) (eV/atom): -0.020
E (eV per atom): -5.355

---

(5)
This record from Alexandria describes an optimized crystal structure of Si2TeRh. The functional is GGA-PBE.

a = 6.909 Å, b = 6.909 Å, c = 6.909 Å
α = 30.27°, β = 30.27°, γ = 30.27°
Fractional coordinates of all 4 atoms:
Rh (0.750, 0.750, 0.750)
Si (0.016, 0.016, 0.016)
Si (0.484, 0.484, 0.484)
Te (0.250, 0.250, 0.250)

Results
ΔE_f (raw) (eV/atom): 0.020
E (eV per atom): -5.315

---

(6)
This record from Alexandria describes an optimized crystal structure of Si2TeRh. The functional is GGA-PBE.

a = 4.558 Å, b = 4.558 Å, c = 3.399 Å
α = 90.00°, β = 90.00°, γ = 90.00°
Fractional coordinates of all 4 atoms:
Si (0.000, 0.000, 0.000)
Si (0.500, 0.500, 0.000)
Te (0.500, 0.000, 0.500)
Rh (0.000, 0.500, 0.500)

Results
ΔE_f (raw) (eV/atom): 0.480
E (eV per atom): -4.854

---

(7)
This record from Alexandria describes an optimized crystal structure of Si2TeRh. The functional is GGA-PBE.

a = 4.774 Å, b = 4.774 Å, c = 4.774 Å
α = 125.20°, β = 125.20°, γ = 81.20°
Fractional coordinates of all 4 atoms:
Si (0.250, 0.750, 0.500)
Si (0.000, 0.000, 0.000)
Te (0.500, 0.500, 0.000)
Rh (0.750, 0.250, 0.500)

Results
ΔE_f (raw) (eV/atom): 0.368
E (eV per atom): -4.967

---

(8)
This record from Alexandria describes an optimized crystal structure of Si2TeRh. The functional is GGA-PBE.

a = 4.153 Å, b = 4.153 Å, c = 5.986 Å
α = 72.01°, β = 72.01°, γ = 49.73°
Fractional coordinates of all 4 atoms:
Si (0.511, 0.511, 0.414)
Si (0.989, 0.989, 0.086)
Rh (0.250, 0.250, 0.250)
Te (0.750, 0.750, 0.750)

Results
ΔE_f (raw) (eV/atom): 0.031
E (eV per atom): -5.303

---

(9)
This record from Alexandria describes an optimized crystal structure of Si2TeRh. The functional is GGA-PBE.

a = 5.881 Å, b = 5.881 Å, c = 5.881 Å
α = 150.97°, β = 131.72°, γ = 57.33°
Fractional coordinates of all 4 atoms:
Si (0.046, 0.046, 0.000)
Si (0.454, 0.454, 0.000)
Rh (0.250, 0.750, 0.500)
Te (0.750, 0.250, 0.500)

Results
ΔE_f (raw) (eV/atom): 0.235
E (eV per atom): -5.100

---

(10)
This record from Alexandria describes an optimized crystal structure of Si2TeRh. The functional is GGA-PBE.

a = 3.123 Å, b = 3.123 Å, c = 7.180 Å
α = 90.00°, β = 90.00°, γ = 90.00°
Fractional coordinates of all 4 atoms:
Rh (0.500, 0.500, 0.750)
Si (0.000, 0.000, 0.942)
Si (0.000, 0.000, 0.558)
Te (0.500, 0.500, 0.250)

Results
ΔE_f (raw) (eV/atom): 0.060
E (eV per atom): -5.275

---

(11)
This record from Alexandria describes an optimized crystal structure of SiTeRh. The functional is GGA-PBE.

a = 3.543 Å, b = 3.543 Å, c = 5.383 Å
α = 90.00°, β = 90.00°, γ = 120.00°
Fractional coordinates of all 3 atoms:
Si (0.667, 0.333, 0.263)
Rh (0.000, 0.000, 0.042)
Te (0.333, 0.667, 0.695)

Results
ΔE_f (raw) (eV/atom): -0.139
E (eV per atom): -5.444
Distance to the lowest polymorph of the same formula (eV per atom): 0.385

---

(12)
This record from Alexandria describes an optimized crystal structure of Tm6SiTe3Rh2. The functional is GGA-PBE.

a = 7.112 Å, b = 7.112 Å, c = 7.498 Å
α = 99.16°, β = 99.16°, γ = 119.99°
Fractional coordinates of all 12 atoms:
Tm (0.931, 0.590, 0.790)
Tm (0.410, 0.069, 0.210)
Tm (0.731, 0.731, 0.210)
Tm (0.269, 0.269, 0.790)
Tm (0.069, 0.410, 0.210)
Tm (0.590, 0.931, 0.790)
Rh (0.333, 0.667, 0.000)
Rh (0.667, 0.333, 0.000)
Te (0.165, 0.835, 0.500)
Te (0.835, 0.165, 0.500)
Te (0.500, 0.500, 0.500)
Si (0.000, 0.000, 0.000)

Results
ΔE_f (raw) (eV/atom): -0.999
E (eV per atom): -5.698